[1]
Compound: K2Sc2AlS6
Source: the Alexandria database
Functional: GGA-PBE
Structure: relaxed

The structure in extended XYZ format:
```
11
Lattice="3.1868 -5.4838 0.0000 3.1868 5.4838 0.0000 -2.2144 0.0000 7.5804" Properties=species:S:1:pos:R:3 pbc="T T T"
K 3.1868 3.6131 0.0000
K 3.1868 -3.6131 0.0000
Sc 2.0796 1.8339 3.7902
Sc 2.0796 -1.8339 3.7902
Al -1.1072 0.0000 3.7902
S -0.0850 1.7424 5.2044
S 0.9085 0.0000 2.3943
S -0.0850 -1.7424 5.2044
S 4.2442 1.7424 2.3760
S 3.2507 0.0000 5.1861
S 4.2442 -1.7424 2.3760
```

## Properties
Raw total energy: -0.395 Ry/atom



[2]
Compound: La6P2HS3
Source: the Alexandria database
Functional: GGA-PBE
Structure: relaxed

The structure in extended XYZ format:
```
12
Lattice="9.0357 -2.1003 0.0000 9.0357 2.1003 0.0000 -1.9532 0.0000 8.0683" Properties=species:S:1:pos:R:3 pbc="T T T"
La -0.4567 0.0000 1.9544
La 4.1966 0.0000 7.4091
La 5.2139 0.0000 3.3481
La 10.9044 0.0000 4.7202
La 11.9217 0.0000 0.6592
La 16.5750 0.0000 6.1140
P 1.3305 0.0000 6.6821
P 14.7878 0.0000 1.3862
H 8.0591 0.0000 4.0342
S 2.3850 0.0000 2.7049
S 9.0357 0.0000 0.0000
S 13.7333 0.0000 5.3634
```

## Properties
Raw total energy: -0.467 Ry/atom



[3]
Compound: CrMoCl2
Source: the Alexandria database
Functional: GGA-PBE
Structure: relaxed

The structure in extended XYZ format:
```
4
Lattice="4.4561 0.0000 0.0000 0.0000 4.4561 0.0000 0.0000 0.0000 3.4456" Properties=species:S:1:pos:R:3 pbc="T T T"
Cr 0.0000 0.0000 0.0000
Mo 2.2280 2.2280 0.0000
Cl 0.0000 2.2280 1.7228
Cl 2.2280 0.0000 1.7228
```

## Properties
Energy above the most stable polymorph in this dataset: 804 meV/atom



[4]
Compound: NpPa2ZnN5
Source: the Alexandria database
Functional: GGA-PBE
Structure: relaxed

The structure in extended XYZ format:
```
18
Lattice="1.7139 -6.7224 0.0000 1.7139 6.7224 0.0000 0.0000 0.0000 10.5329" Properties=species:S:1:pos:R:3 pbc="T T T"
Np 1.7139 4.0712 5.2665
Np 1.7139 -4.0712 0.0000
Pa 1.7139 5.0517 2.0560
Pa 1.7139 4.9672 8.2670
Pa 1.7139 -4.9672 3.0005
Pa 1.7139 -5.0517 7.3225
Zn 1.7139 0.0376 10.3856
Zn 1.7139 -0.0376 5.1191
N 1.7139 6.1251 6.0423
N 1.7139 2.7931 1.6093
N 1.7139 2.6751 8.8330
N 1.7139 1.9523 5.6806
N 1.7139 0.1999 3.0847
N 1.7139 -0.1999 8.3512
N 1.7139 -1.9523 0.4142
N 1.7139 -2.6751 3.5665
N 1.7139 -2.7931 6.8758
N 1.7139 -6.1251 0.7758
```

## Properties
Raw total energy: -0.689 Ry/atom



- Which formula does entry 1 have?
  K2Sc2AlS6